Entry 1:
IrRu2Pt2Rh2 | PBE | relaxed

a b c (Å): 8.5915 3.8262 8.0299
angles (deg): 90.00 120.88 90.00
Space group C2/m (No. 12)
Unique sites:
Ir 0.0000 0.0000 0.0000 x2
Ru 0.0178 0.5000 0.2405 x4
Pt 0.2292 0.0000 0.8583 x4
Rh 0.1419 0.0000 0.4881 x4

Computed properties:
- ΔH_f (0 K): 9.4 kcal/mol of atoms

=====

Entry 2:
CsPrSe4 | PBE | relaxed

a b c (Å): 6.4660 6.4660 9.1750
angles (deg): 90.00 90.00 90.00
Space group P4/nbm (No. 125, origin choice 2)
Unique sites:
Cs 0.2500 0.2500 0.0000 x2
Pr 0.2500 0.2500 0.5000 x2
Se 0.1171 0.6171 0.3036 x8

Computed properties:
- Uncorrected formation energy: -7.08 eV/f.u.

=====

Entry 3:
Zr2TeRh | PBE | relaxed

a b c (Å): 6.8668 6.8668 6.8668
angles (deg): 90.00 90.00 90.00
Space group Fm-3m (No. 225)
Unique sites:
Zr 0.2500 0.2500 0.2500 x8
Te 0.0000 0.0000 0.0000 x4
Rh 0.0000 0.0000 0.5000 x4

Computed properties:
- Uncorrected formation energy: -1.73 eV/f.u.
- Distance to the lowest polymorph of the same formula: 209 meV/atom

=====

Entry 4:
BaNaP2O | PBE | relaxed

a b c (Å): 5.0273 5.0273 4.6500
angles (deg): 90.00 90.00 90.00
Space group P4/mmm (No. 123)
Unique sites:
Ba 0.0000 0.0000 0.0000 x1
Na 0.5000 0.5000 0.5000 x1
P 0.0000 0.5000 0.5000 x2
O 0.5000 0.5000 0.0000 x1

Computed properties:
- Uncorrected formation energy: 0.69 eV/f.u.
- Distance to the lowest polymorph of the same formula: 0 meV/atom

=====

Entry 5:
Sr2USb3Pt4 | PBE | relaxed

a b c (Å): 4.6108 4.6108 11.4734
angles (deg): 90.00 90.00 90.00
Space group P-4m2 (No. 115)
Unique sites:
Sr 0.0000 0.5000 0.2242 x2
U 0.0000 0.0000 0.5000 x1
Sb 0.0000 0.5000 0.8757 x2
Sb 0.5000 0.5000 0.5000 x1
Pt 0.0000 0.0000 0.0000 x1
Pt 0.0000 0.5000 0.6441 x2
Pt 0.5000 0.5000 0.0000 x1

Computed properties:
- Uncorrected formation energy: -7.21 eV/f.u.

=====

Entry 6:
ThPa | PBE | relaxed

a b c (Å): 5.8750 3.4440 5.8914
angles (deg): 90.00 108.95 90.00
Space group C2/m (No. 12)
Unique sites:
Th 0.0000 0.0000 0.0000 x2
Pa 0.0000 0.5000 0.5000 x2

Computed properties:
- ΔH_f (0 K): 2.1 kcal/mol of atoms
- Distance to the lowest polymorph of the same formula: 16 meV/atom

=====

Entry 7:
NaEuHo | PBE | relaxed

a b c (Å): 3.6433 3.6433 9.3467
angles (deg): 90.00 90.00 120.00
Space group P3m1 (No. 156)
Unique sites:
Na 0.0000 0.0000 0.0000 x1
Eu 0.3333 0.6667 0.6456 x1
Ho 0.6667 0.3333 0.3308 x1

Computed properties:
- ΔH_f (0 K): 3.8 kcal/mol of atoms

=====

Entry 8:
CdInHg2 | PBE | relaxed

a b c (Å): 11.0203 3.7166 5.0075
angles (deg): 90.00 95.63 90.00
Space group Cm (No. 8)
Unique sites:
Cd 0.0000 0.0000 0.0000 x2
In 0.2506 0.5000 0.2935 x2
Hg 0.2542 0.0000 0.7967 x2
Hg 0.4965 0.0000 0.5013 x2

Computed properties:
- ΔH_f (0 K): 0.1 kcal/mol of atoms

=====

Entry 9:
AcLa2Tl3S6 | PBE | relaxed

a b c (Å): 7.5116 13.0045 7.8442
angles (deg): 90.00 108.61 90.00
Space group C2/m (No. 12)
Unique sites:
Ac 0.0000 0.0000 0.0000 x2
La 0.0000 0.3335 0.0000 x4
Tl 0.0000 0.1672 0.5000 x4
Tl 0.0000 0.5000 0.5000 x2
S 0.2272 0.5000 0.2053 x4
S 0.2396 0.1706 0.2071 x8

Computed properties:
- Uncorrected formation energy: -18.21 eV/f.u.

=====

Entry 10:
PrNd2DyHo5 | PBE | relaxed

a b c (Å): 8.7407 8.7407 15.4848
angles (deg): 90.00 90.00 90.00
Space group I4/mcm (No. 140)
Unique sites:
Pr 0.0000 0.0000 0.2500 x4
Nd 0.1168 0.3832 0.0000 x8
Dy 0.0000 0.5000 0.2500 x4
Ho 0.0000 0.0000 0.0000 x4
Ho 0.2101 0.2899 0.3624 x16

Computed properties:
- ΔH_f (0 K): 6.0 kcal/mol of atoms

=====

Entry 11:
Hf4Ni2Ir | PBE | relaxed

a b c (Å): 4.4206 13.8491 4.6058
angles (deg): 90.00 90.00 90.00
Space group Cmmm (No. 65)
Unique sites:
Hf 0.0000 0.1102 0.0000 x4
Hf 0.0000 0.3777 0.5000 x4
Ni 0.0000 0.2949 0.0000 x4
Ir 0.0000 0.0000 0.5000 x2

Computed properties:
- ΔH_f (0 K): -7.5 kcal/mol of atoms

=====

Entry 12:
ScTc3Ru | PBE | relaxed

a b c (Å): 4.4633 4.4633 4.4633
angles (deg): 90.00 90.00 90.00
Space group Pm-3m (No. 221)
Unique sites:
Sc 0.0000 0.0000 0.0000 x1
Tc 0.0000 0.0000 0.5000 x3
Ru 0.5000 0.5000 0.5000 x1

Computed properties:
- ΔH_f (0 K): 46.0 kcal/mol of atoms
- Distance to the lowest polymorph of the same formula: 821 meV/atom